First-principles (PBE) data for crystalline BaLiNiPb2 at its relaxed geometry, as listed in Alexandria via LeMat-Bulk.

Output
Formation enthalpy at 0 K ... -0.186 eV/atom
Calculated volume ... 27.81 A^3/atom
M_tot ... 0.00 μB per cell
SG ... P4/mmm
Calculated total energy ... -3.593 eV per atom

a b c (Å): 5.194 5.194 5.154
angles (deg): 90.00 90.00 90.00
Fractional positions:
Pb 0.000 0.500 0.000
Pb 0.500 0.000 0.000
Ni 0.000 0.000 0.000
Ba 0.500 0.500 0.500
Li 0.000 0.000 0.500